Rb2CeWN4 PBE relaxed; ΔE_f (raw) = -0.649 eV per atom; ρ = 5.25 Mg/m³; size of the total moment = 0.00 μB/f.u.
1.0
7.162 0.000 0.000
0.000 7.797 0.000
0.000 0.000 6.239
Rb Ce W N
4 2 2 8
Direct
0.247 0.157 0.000
0.253 0.843 0.500
0.747 0.843 0.500
0.753 0.157 0.000
0.000 0.376 0.480
0.500 0.624 0.980
0.000 0.652 0.976
0.500 0.348 0.476
0.000 0.445 0.133
0.000 0.602 0.683
0.226 0.773 0.030
0.274 0.227 0.530
0.500 0.398 0.183
0.500 0.555 0.633
0.726 0.227 0.530
0.774 0.773 0.030



K2UI5 PBE relaxed; ΔE_f (raw) = -1.149 eV per atom; ρ = 4.68 Mg/m³; size of the total moment = 3.00 μB/f.u.
1.0
14.678 0.000 0.000
0.000 9.880 0.000
0.000 0.000 9.299
K U I
8 4 20
Direct
0.172 0.003 0.058
0.172 0.497 0.058
0.328 0.503 0.558
0.328 0.997 0.558
0.672 0.003 0.442
0.672 0.497 0.442
0.828 0.503 0.942
0.828 0.997 0.942
0.003 0.250 0.574
0.497 0.750 0.074
0.503 0.250 0.926
0.997 0.750 0.426
0.007 0.250 0.927
0.077 0.544 0.667
0.077 0.956 0.667
0.180 0.250 0.374
0.207 0.750 0.339
0.293 0.250 0.839
0.320 0.750 0.874
0.423 0.044 0.167
0.423 0.456 0.167
0.493 0.750 0.427
0.507 0.250 0.573
0.577 0.544 0.833
0.577 0.956 0.833
0.680 0.250 0.126
0.707 0.750 0.161
0.793 0.250 0.661
0.820 0.750 0.626
0.923 0.044 0.333
0.923 0.456 0.333
0.993 0.750 0.073



FeRe2Ag PBE relaxed; energy of formation from the pure elements = 539 meV/atom; relative energy among the computed polymorphs = 1.02 eV/f.u.; ρ = 15.19 Mg/m³; size of the total moment = 2.32 μB/f.u.
1.0
3.777 0.000 0.000
0.000 3.792 0.000
0.000 0.000 4.091
Fe Re Ag
1 2 1
Direct
0.000 0.000 0.000
0.000 0.500 0.500
0.500 0.000 0.500
0.500 0.500 0.000



Sr2BH PBE relaxed; relative energy among the computed polymorphs = 0.00 eV/f.u.; ρ = 3.14 Mg/m³; size of the total moment = 0.00 μB/f.u.
1.0
-3.438 3.438 4.190
3.438 -3.438 4.190
3.438 3.438 -4.190
Sr B H
4 2 2
Direct
0.096 0.125 0.471
0.375 0.904 0.029
0.654 0.625 0.529
0.875 0.346 0.971
0.250 0.750 0.500
0.500 0.500 0.000
0.000 0.000 0.000
0.750 0.250 0.500